# TaIrSe2

Crystalline TaIrSe2 at its relaxed geometry (PBE, Alexandria via LeMat-Bulk).

Results
- Symmetry: No. 6
- Energy relative to the elements, uncorrected: -318 meV per atom
- Energy above the lowest structure with this stoichiometry: 73.3 meV per atom

The structure in POSCAR format:
```
TaIrSe2
1.0
3.7677 0.0000 0.0000
0.0000 3.9536 -0.0426
0.0000 0.5546 6.4061
Ir Se Ta
1 2 1
direct
0.5000 0.8658 0.6410 Ir
0.5000 0.3004 0.3416 Se
0.0000 0.9195 0.9010 Se
0.0000 0.4143 0.6165 Ta
```

# Ta2IrSe

Crystalline Ta2IrSe at its relaxed geometry (PBE, Alexandria via LeMat-Bulk).

Results
- Symmetry: No. 8
- Energy relative to the elements, uncorrected: -234 meV per atom

The structure in POSCAR format:
```
Ta2IrSe
1.0
4.9801 -0.0103 0.0035
4.0298 2.9261 0.0035
1.0140 0.3281 4.6371
Ir Se Ta
1 1 2
direct
0.5018 0.5018 0.5574 Ir
0.2509 0.2509 0.1878 Se
0.7650 0.7650 0.6803 Ta
0.9822 0.9822 0.0744 Ta
```

# TaIrSe2

Crystalline TaIrSe2 at its relaxed geometry (PBE, Alexandria via LeMat-Bulk).

Results
- Symmetry: No. 216
- Energy relative to the elements, uncorrected: 342 meV per atom
- Energy above the lowest structure with this stoichiometry: 732.9 meV per atom

The structure in POSCAR format:
```
TaIrSe2
1.0
-0.0114 -2.3234 -3.9973
1.8228 -4.2436 -0.2125
-2.7546 -3.6753 -0.5298
Ir Se Ta
1 2 1
direct
0.5000 0.5000 0.5000 Ir
0.2500 0.2500 0.2500 Se
0.0000 0.0000 0.0000 Se
0.7500 0.7500 0.7500 Ta
```

Quick rundown of total moment, same order as above: 0.0, 0.0, 0.0 μB/f.u.